# 1
DFT (PBE) results for a geometry-optimized Tb6PrDy3Y2 structure.

```
Tb6PrDy3Y2
1.0
3.092 -5.351 0.000
3.092 5.351 0.000
-2.046 0.000 11.666
Tb Pr Dy Y
6 1 3 2
direct
0.085 0.418 0.753
0.249 0.249 0.248
0.418 0.085 0.753
0.582 0.915 0.247
0.751 0.751 0.752
0.915 0.582 0.247
0.000 0.000 0.500
0.167 0.833 0.000
0.500 0.500 0.000
0.833 0.167 0.000
0.333 0.667 0.500
0.667 0.333 0.500
```

Computed properties:
The calculated formation energy is 19 kJ/mol of formula units. Its magnetization is 0.0 Bohr magnetons per cell. Its density of states at the Fermi level is 1.27 states/eV per atom. The value obtained for the total energy is -4.93 eV/atom.

***

# 2
DFT (PBE) results for a geometry-optimized TbPrDy2Y structure.

```
TbPrDy2Y
1.0
4.204 -5.790 0.000
4.204 5.790 0.000
0.000 0.000 7.209
Tb Pr Dy Y
2 2 4 2
direct
0.012 0.988 0.750
0.988 0.012 0.250
0.278 0.722 0.750
0.722 0.278 0.250
0.310 0.310 0.000
0.310 0.310 0.500
0.690 0.690 0.000
0.690 0.690 0.500
0.269 0.731 0.250
0.731 0.269 0.750
```

Computed properties:
The calculated formation energy is 180 kJ/mol of formula units. Its magnetization is 0.0 Bohr magnetons per cell. Its density of states at the Fermi level is 1.50 states/eV per atom. The value obtained for the total energy is -4.64 eV/atom.

***

# 3
DFT (PBE) results for a geometry-optimized TbPr2DyY6 structure.

```
TbPr2DyY6
1.0
4.551 -7.535 0.000
4.551 7.535 0.000
-1.730 0.000 9.700
Tb Pr Dy Y
2 4 2 12
direct
0.017 0.983 0.750
0.983 0.017 0.250
0.192 0.291 0.544
0.291 0.192 0.044
0.709 0.808 0.956
0.808 0.709 0.456
0.406 0.594 0.250
0.594 0.406 0.750
0.020 0.577 0.687
0.122 0.743 0.057
0.257 0.878 0.443
0.296 0.504 0.882
0.423 0.980 0.813
0.496 0.704 0.618
0.504 0.296 0.382
0.577 0.020 0.187
0.704 0.496 0.118
0.743 0.122 0.557
0.878 0.257 0.943
0.980 0.423 0.313
```

Computed properties:
The calculated formation energy is 109 kJ/mol of formula units. Its magnetization is 0.0 Bohr magnetons per cell. Its density of states at the Fermi level is 1.47 states/eV per atom. The value obtained for the total energy is -5.65 eV/atom.

***

# 4
DFT (PBE) results for a geometry-optimized Tb5PrDyY2 structure.

```
Tb5PrDyY2
1.0
2.828 -9.960 0.000
2.828 9.960 0.000
0.000 0.000 10.598
Tb Pr Dy Y
10 2 2 4
direct
0.019 0.981 0.500
0.282 0.718 0.788
0.298 0.702 0.183
0.389 0.611 0.498
0.479 0.521 0.213
0.521 0.479 0.713
0.611 0.389 0.998
0.702 0.298 0.683
0.718 0.282 0.288
0.981 0.019 0.000
0.416 0.584 0.928
0.584 0.416 0.428
0.201 0.799 0.487
0.799 0.201 0.987
0.111 0.889 0.209
0.114 0.886 0.796
0.886 0.114 0.296
0.889 0.111 0.709
```

Computed properties:
The calculated formation energy is 134 kJ/mol of formula units. Its magnetization is 0.0 Bohr magnetons per cell. Its density of states at the Fermi level is 1.65 states/eV per atom. The value obtained for the total energy is -4.90 eV/atom.

***

# 5
DFT (PBE) results for a geometry-optimized Tb6PrDy2Y structure.

```
Tb6PrDy2Y
1.0
4.535 -7.563 0.000
4.535 7.563 0.000
-1.369 0.000 9.579
Tb Pr Dy Y
12 2 4 2
direct
0.027 0.574 0.183
0.122 0.750 0.556
0.250 0.878 0.944
0.291 0.501 0.378
0.426 0.973 0.317
0.499 0.709 0.122
0.501 0.291 0.878
0.574 0.027 0.683
0.709 0.499 0.622
0.750 0.122 0.056
0.878 0.250 0.444
0.973 0.426 0.817
0.406 0.594 0.750
0.594 0.406 0.250
0.192 0.298 0.043
0.298 0.192 0.543
0.702 0.808 0.457
0.808 0.702 0.957
0.023 0.977 0.250
0.977 0.023 0.750
```

Computed properties:
The calculated formation energy is 117 kJ/mol of formula units. Its magnetization is 0.0 Bohr magnetons per cell. Its density of states at the Fermi level is 1.50 states/eV per atom. The value obtained for the total energy is -4.70 eV/atom.

***

# 6
DFT (PBE) results for a geometry-optimized Tb2PrDy6Y structure.

```
Tb2PrDy6Y
1.0
4.534 -7.555 0.000
4.534 7.555 0.000
-1.237 0.000 9.519
Tb Pr Dy Y
4 2 12 2
direct
0.197 0.302 0.455
0.302 0.197 0.955
0.698 0.803 0.045
0.803 0.698 0.545
0.476 0.524 0.750
0.524 0.476 0.250
0.008 0.792 0.880
0.067 0.520 0.682
0.208 0.992 0.620
0.248 0.623 0.057
0.377 0.752 0.443
0.480 0.933 0.818
0.520 0.067 0.182
0.623 0.248 0.557
0.752 0.377 0.943
0.792 0.008 0.380
0.933 0.480 0.318
0.992 0.208 0.120
0.091 0.909 0.250
0.909 0.091 0.750
```

Computed properties:
The calculated formation energy is 112 kJ/mol of formula units. Its magnetization is 0.0 Bohr magnetons per cell. Its density of states at the Fermi level is 1.44 states/eV per atom. The value obtained for the total energy is -4.70 eV/atom.

***

- Which of these has the lowest calculated formation energy?
  Tb6PrDy3Y2

***

- Look up the calculated formation energy of the second one.
  180 kJ/mol of formula units

***

- Which value of calculated formation energy does entry 3 give?
  109 kJ/mol of formula units